Record 1
Pu2SbH4: optimized geometry, PBE.

Cell and atoms, written as POSCAR:
```
Pu2SbH4
1.0
-3.458 -0.817 0.675
-1.353 -0.415 -7.437
1.758 -7.363 0.091
Pu Sb H
4 2 8
Direct
0.000 0.226 0.774
0.000 0.774 0.226
0.500 0.726 0.726
0.500 0.274 0.274
0.500 0.000 0.000
0.000 0.500 0.500
0.000 0.088 0.319
0.000 0.912 0.681
0.500 0.181 0.588
0.500 0.819 0.412
0.500 0.412 0.819
0.500 0.588 0.181
0.000 0.319 0.088
0.000 0.681 0.912
```

Values from the calculation:
M_tot	18.8	Bohr magnetons per cell
symmetry	No. 136
crystal system	tetragonal
calculated total energy	-6.801	eV per atom

Record 2
Sm2Pu4Sb3H2: optimized geometry, PBE.

Cell and atoms, written as POSCAR:
```
Sm2Pu4Sb3H2
1.0
4.516 0.000 0.000
0.000 4.516 0.000
-2.258 -2.258 13.197
Sm Pu Sb H
2 4 3 2
Direct
0.299 0.299 0.597
0.701 0.701 0.403
0.415 0.915 0.831
0.915 0.415 0.831
0.085 0.585 0.169
0.585 0.085 0.169
0.000 0.000 0.000
0.177 0.177 0.355
0.823 0.823 0.645
0.387 0.387 0.775
0.613 0.613 0.225
```

Values from the calculation:
M_tot	25.0	Bohr magnetons per cell
symmetry	No. 139
crystal system	tetragonal
calculated total energy	-8.434	eV per atom

Record 3
Pu4Th2Sb3H2: optimized geometry, PBE.

Cell and atoms, written as POSCAR:
```
Pu4Th2Sb3H2
1.0
-2.079 -0.782 -2.838
2.867 -1.325 -1.735
-3.590 -14.558 8.931
Pu Th Sb H
4 2 3 2
Direct
0.425 0.925 0.850
0.925 0.425 0.850
0.075 0.575 0.150
0.575 0.075 0.150
0.290 0.290 0.580
0.710 0.710 0.420
0.000 0.000 0.000
0.149 0.149 0.297
0.851 0.851 0.703
0.462 0.462 0.925
0.538 0.538 0.075
```

Values from the calculation:
M_tot	2.0	Bohr magnetons per cell
symmetry	No. 139
crystal system	tetragonal
calculated total energy	-8.123	eV per atom

Record 4
Pu2Th4Sb3H2: optimized geometry, PBE.

Cell and atoms, written as POSCAR:
```
Pu2Th4Sb3H2
1.0
4.824 0.000 0.000
0.000 4.824 0.000
-2.412 -2.412 12.568
Pu Th Sb H
2 4 3 2
Direct
0.304 0.304 0.608
0.696 0.696 0.392
0.414 0.914 0.827
0.914 0.414 0.827
0.086 0.586 0.173
0.586 0.086 0.173
0.000 0.000 0.000
0.177 0.177 0.355
0.823 0.823 0.645
0.400 0.400 0.799
0.600 0.600 0.201
```

Values from the calculation:
M_tot	13.1	Bohr magnetons per cell
symmetry	No. 139
crystal system	tetragonal
calculated total energy	-7.462	eV per atom

Record 5
PuZnSbH: optimized geometry, PBE.

Cell and atoms, written as POSCAR:
```
PuZnSbH
1.0
-0.386 0.191 -4.266
-2.278 -3.632 0.043
-6.663 4.189 0.792
Pu Zn Sb H
2 2 2 2
Direct
0.500 0.000 0.630
0.000 0.500 0.370
0.500 0.500 0.000
0.000 0.000 0.000
0.000 0.500 0.780
0.500 0.000 0.220
0.000 0.000 0.500
0.500 0.500 0.500
```

Values from the calculation:
M_tot	11.7	Bohr magnetons per cell
symmetry	No. 129
crystal system	tetragonal
calculated total energy	-6.121	eV per atom

Record 6
Pu2Zr2Sb2H: optimized geometry, PBE.

Cell and atoms, written as POSCAR:
```
Pu2Zr2Sb2H
1.0
-2.642 -1.540 3.092
0.083 -3.920 -1.882
7.907 0.648 4.022
Pu Zr Sb H
2 2 2 1
Direct
0.179 0.179 0.358
0.821 0.821 0.642
0.000 0.500 0.000
0.500 0.000 0.000
0.372 0.372 0.744
0.628 0.628 0.256
0.000 0.000 0.000
```

Values from the calculation:
M_tot	12.3	Bohr magnetons per cell
symmetry	No. 139
crystal system	tetragonal
calculated total energy	-8.765	eV per atom

Record 7
Pu3Sc5H12: optimized geometry, PBE.

Cell and atoms, written as POSCAR:
```
Pu3Sc5H12
1.0
10.732 0.000 0.000
-3.577 10.119 0.000
-3.577 -5.059 8.763
Pu Sc H
12 20 48
Direct
0.750 0.375 0.125
0.875 0.750 0.125
0.375 0.750 0.625
0.250 0.125 0.375
0.875 0.125 0.250
0.375 0.625 0.250
0.625 0.375 0.750
0.125 0.875 0.750
0.750 0.875 0.625
0.625 0.250 0.375
0.125 0.250 0.875
0.250 0.625 0.875
0.125 0.375 0.250
0.000 0.500 0.000
0.000 0.000 0.000
0.375 0.250 0.125
0.500 0.000 0.500
0.500 0.500 0.000
0.125 0.750 0.375
0.750 0.125 0.875
0.750 0.625 0.375
0.375 0.125 0.750
0.625 0.875 0.250
0.500 0.500 0.500
0.500 0.000 0.000
0.000 0.000 0.500
0.250 0.375 0.625
0.250 0.875 0.125
0.000 0.500 0.500
0.875 0.250 0.625
0.625 0.750 0.875
0.875 0.625 0.750
0.717 0.135 0.052
0.335 0.552 0.416
0.948 0.365 0.283
0.552 0.217 0.135
0.581 0.717 0.665
0.948 0.584 0.165
0.335 0.783 0.419
0.084 0.919 0.135
0.584 0.948 0.665
0.717 0.581 0.165
0.783 0.448 0.365
0.835 0.916 0.052
0.135 0.717 0.552
0.365 0.416 0.081
0.081 0.916 0.365
0.419 0.135 0.584
0.081 0.165 0.217
0.448 0.665 0.084
0.835 0.919 0.283
0.135 0.419 0.084
0.365 0.948 0.783
0.584 0.635 0.419
0.916 0.835 0.552
0.783 0.335 0.919
0.416 0.365 0.581
0.084 0.165 0.448
0.217 0.665 0.081
0.165 0.081 0.717
0.635 0.052 0.217
0.865 0.581 0.916
0.552 0.335 0.916
0.581 0.865 0.416
0.919 0.835 0.783
0.919 0.084 0.635
0.865 0.283 0.448
0.165 0.084 0.948
0.635 0.584 0.919
0.416 0.052 0.335
0.283 0.419 0.835
0.217 0.552 0.635
0.916 0.081 0.865
0.665 0.217 0.581
0.448 0.783 0.865
0.052 0.416 0.835
0.419 0.283 0.335
0.052 0.635 0.717
0.665 0.448 0.584
0.283 0.865 0.948
```

Values from the calculation:
M_tot	71.1	Bohr magnetons per cell
symmetry	No. 230
crystal system	cubic
calculated total energy	-6.133	eV per atom

Record 8
PuScH2: optimized geometry, PBE.

Cell and atoms, written as POSCAR:
```
PuScH2
1.0
-2.143 2.247 0.953
-2.615 -0.875 1.715
1.353 1.200 5.749
Pu Sc H
1 1 2
Direct
0.494 0.494 0.517
0.670 0.670 0.990
0.066 0.066 0.803
0.270 0.270 0.191
```

Values from the calculation:
polymorph energy (0 for the lowest one)	9.1	kJ/mol of atoms
M_tot	5.6	Bohr magnetons per cell
symmetry	No. 160
crystal system	trigonal

Record 9
PuScH2: optimized geometry, PBE.

Cell and atoms, written as POSCAR:
```
PuScH2
1.0
-3.036 0.623 -1.060
-2.559 -0.470 1.991
-1.422 5.278 2.113
Sc H Pu
1 2 1
Direct
0.500 0.500 0.500
0.767 0.767 0.699
0.233 0.233 0.301
0.000 0.000 0.000
```

Values from the calculation:
polymorph energy (0 for the lowest one)	0.0	kJ/mol of atoms
M_tot	5.8	Bohr magnetons per cell
symmetry	No. 166
crystal system	trigonal

Record 10
PuSc3H: optimized geometry, PBE.

Cell and atoms, written as POSCAR:
```
PuSc3H
1.0
4.604 0.000 0.000
0.000 4.604 0.000
0.000 0.000 4.604
Sc H Pu
3 1 1
Direct
0.000 0.500 0.000
0.000 0.000 0.500
0.500 0.000 0.000
0.000 0.000 0.000
0.500 0.500 0.500
```

Values from the calculation:
M_tot	6.3	Bohr magnetons per cell
symmetry	No. 221
crystal system	cubic
calculated total energy	-7.376	eV per atom

Record 11
PuSc2H: optimized geometry, PBE.

Cell and atoms, written as POSCAR:
```
PuSc2H
1.0
3.007 0.000 0.000
0.000 3.007 0.000
0.000 0.000 8.052
Sc H Pu
2 1 1
Direct
0.000 0.000 0.813
0.000 0.000 0.187
0.500 0.500 0.000
0.500 0.500 0.500
```

Values from the calculation:
polymorph energy (0 for the lowest one)	28.2	kJ/mol of atoms
M_tot	4.8	Bohr magnetons per cell
symmetry	No. 123
crystal system	tetragonal

Record 12
PuSc2H: optimized geometry, PBE.

Cell and atoms, written as POSCAR:
```
PuSc2H
1.0
3.299 0.000 0.000
1.650 2.857 0.000
1.650 0.952 7.884
Sc H Pu
2 1 1
Direct
0.220 0.220 0.340
0.780 0.780 0.660
0.500 0.500 0.500
0.000 0.000 0.000
```

Values from the calculation:
polymorph energy (0 for the lowest one)	0.0	kJ/mol of atoms
M_tot	5.6	Bohr magnetons per cell
symmetry	No. 166
crystal system	trigonal